No. 1
Computed, not measured: crystalline La6TbNd5 at its relaxed geometry at the GGA-PBE level of DFT.

Cell lengths 6.3896, 9.8093, 11.6454 Å; angles 53.41, 57.18, 49.23 degrees
Fractional coordinates of all 12 atoms:
Tb: 0.0000 0.0000 0.0000
La: 0.2516 0.2482 0.9998
La: 0.7508 0.0827 0.3324
La: 0.2492 0.9173 0.6676
La: 0.7484 0.7518 0.0002
La: 0.7512 0.4158 0.6674
La: 0.2488 0.5842 0.3326
Nd: 0.5007 0.8344 0.3322
Nd: 0.5000 0.5000 0.0000
Nd: 0.0013 0.6665 0.6669
Nd: 0.4993 0.1656 0.6678
Nd: 0.9987 0.3335 0.3331

Computed properties:
The calculation puts the density of states at the Fermi level at 19.990 states/eV/cell. The formation energy comes out at 0.013 eV/atom. The energy relative to the lowest polymorph listed for this composition is 3 meV per atom. As for the space-group type: P-1, No. 2. The value obtained for the calculated total energy is -0.1772 Ha/atom.

---

No. 2
Computed, not measured: crystalline La12TbNd5 at its relaxed geometry at the GGA-PBE level of DFT.

Cell lengths 11.0972, 11.1366, 6.4324 Å; angles 73.05, 90.00, 60.11 degrees
Fractional coordinates of all 18 atoms:
Tb: 0.0000 0.0000 0.0000
La: 0.6655 0.3325 0.0004
La: 0.8332 0.9999 0.5000
La: 0.3345 0.6675 0.9996
La: 0.1668 0.0001 0.5000
La: 0.8354 0.6669 0.5001
La: 0.5020 0.3332 0.4996
La: 0.6701 0.0000 0.9998
La: 0.9984 0.6675 0.9996
La: 0.4980 0.6668 0.5004
La: 0.1646 0.3331 0.4999
La: 0.0017 0.3325 0.0004
La: 0.3299 0.0000 0.0002
Nd: 0.8337 0.3323 0.5022
Nd: 0.6668 0.6666 0.0009
Nd: 0.1663 0.6677 0.4978
Nd: 0.3332 0.3334 0.9991
Nd: 0.5000 0.0000 0.5000

Computed properties:
The calculation puts the density of states at the Fermi level at 34.813 states/eV/cell. The formation energy comes out at 0.016 eV/atom. As for the space-group type: C2/m, No. 12. The value obtained for the calculated total energy is -0.1782 Ha/atom.

---

No. 3
Computed, not measured: crystalline La16Tb6Nd7 at its relaxed geometry at the GGA-PBE level of DFT.

Cell lengths 11.5442, 11.5442, 11.5442 Å; angles 60.00, 60.00, 60.00 degrees
Fractional coordinates of all 29 atoms:
La: 0.6518 0.0447 0.6518
La: 0.3482 0.3482 0.9553
La: 0.3482 0.3482 0.3482
La: 0.6518 0.6518 0.6518
La: 0.6518 0.6518 0.0447
La: 0.8748 0.3756 0.8748
La: 0.8748 0.8748 0.8748
La: 0.1252 0.6244 0.1252
La: 0.3482 0.9553 0.3482
La: 0.1252 0.1252 0.1252
La: 0.0447 0.6518 0.6518
La: 0.1252 0.1252 0.6244
La: 0.6244 0.1252 0.1252
La: 0.8748 0.8748 0.3756
La: 0.3756 0.8748 0.8748
La: 0.9553 0.3482 0.3482
Tb: 0.7359 0.7359 0.2641
Tb: 0.2641 0.2641 0.7359
Tb: 0.7359 0.2641 0.2641
Tb: 0.2641 0.7359 0.7359
Tb: 0.2641 0.7359 0.2641
Tb: 0.7359 0.2641 0.7359
Nd: 0.0000 0.0000 0.5000
Nd: 0.0000 0.0000 0.0000
Nd: 0.5000 0.5000 0.0000
Nd: 0.0000 0.5000 0.5000
Nd: 0.5000 0.0000 0.5000
Nd: 0.0000 0.5000 0.0000
Nd: 0.5000 0.0000 0.0000

Computed properties:
The calculation puts the density of states at the Fermi level at 39.979 states/eV/cell. The formation energy comes out at 0.199 eV/atom. As for the space-group type: Fm-3m, No. 225. The value obtained for the calculated total energy is -0.1701 Ha/atom.

---

No. 4
Computed, not measured: crystalline La3TbNd8 at its relaxed geometry at the GGA-PBE level of DFT.

Cell lengths 8.9069, 8.9069, 8.9069 Å; angles 97.41, 135.95, 98.76 degrees
Fractional coordinates of all 12 atoms:
Nd: 0.1666 0.4150 0.2485
Nd: 0.0158 0.7587 0.2574
Nd: 0.1666 0.9181 0.7515
Nd: 0.8334 0.0819 0.2485
Nd: 0.4987 0.2413 0.2571
Nd: 0.9842 0.2415 0.7429
Nd: 0.8334 0.5850 0.7515
Nd: 0.5013 0.7585 0.7426
La: 0.0000 0.5000 0.5000
La: 0.5000 0.7548 0.2548
La: 0.5000 0.2452 0.7452
Tb: 0.0000 0.0000 0.0000

Computed properties:
The calculation puts the density of states at the Fermi level at 14.779 states/eV/cell. The formation energy comes out at 0.261 eV/atom. As for the space-group type: Immm, No. 71. The value obtained for the calculated total energy is -0.1667 Ha/atom.

---

No. 5
Computed, not measured: crystalline La10TbNd4 at its relaxed geometry at the GGA-PBE level of DFT.

Cell lengths 9.5128, 8.8775, 8.8775 Å; angles 73.32, 57.60, 57.60 degrees
Fractional coordinates of all 15 atoms:
La: 0.8226 0.7028 0.0002
La: 0.8228 0.9998 0.7028
La: 0.4744 0.7028 0.0002
La: 0.4746 0.9998 0.7028
La: 0.1774 0.2972 0.9998
La: 0.2500 0.5000 0.5000
La: 0.5254 0.0002 0.2972
La: 0.1772 0.0002 0.2972
La: 0.7500 0.5000 0.5000
La: 0.5256 0.2972 0.9998
Nd: 0.0001 0.7023 0.2974
Nd: 0.2975 0.7026 0.7023
Nd: 0.7025 0.2974 0.2977
Nd: 0.9999 0.2977 0.7026
Tb: 0.0000 0.0000 0.0000

Computed properties:
The calculation puts the density of states at the Fermi level at 22.960 states/eV/cell. The formation energy comes out at 0.255 eV/atom. As for the space-group type: I4/mmm, No. 139. The value obtained for the calculated total energy is -0.1694 Ha/atom.

---

No. 6
Computed, not measured: crystalline La7Tb16Nd6 at its relaxed geometry at the GGA-PBE level of DFT.

Cell lengths 11.4167, 11.4167, 11.4167 Å; angles 60.00, 60.00, 60.00 degrees
Fractional coordinates of all 29 atoms:
Tb: 0.3480 0.9560 0.3480
Tb: 0.0440 0.6520 0.6520
Tb: 0.3480 0.3480 0.9560
Tb: 0.6520 0.0440 0.6520
Tb: 0.8689 0.8689 0.8689
Tb: 0.6520 0.6520 0.0440
Tb: 0.1311 0.6066 0.1311
Tb: 0.1311 0.1311 0.1311
Tb: 0.3480 0.3480 0.3480
Tb: 0.6066 0.1311 0.1311
Tb: 0.9560 0.3480 0.3480
Tb: 0.1311 0.1311 0.6066
Tb: 0.8689 0.3934 0.8689
Tb: 0.8689 0.8689 0.3934
Tb: 0.6520 0.6520 0.6520
Tb: 0.3934 0.8689 0.8689
La: 0.5000 0.0000 0.5000
La: 0.5000 0.0000 0.0000
La: 0.0000 0.0000 0.0000
La: 0.0000 0.5000 0.0000
La: 0.5000 0.5000 0.0000
La: 0.0000 0.5000 0.5000
La: 0.0000 0.0000 0.5000
Nd: 0.2523 0.7477 0.2523
Nd: 0.2523 0.2523 0.7477
Nd: 0.2523 0.7477 0.7477
Nd: 0.7477 0.7477 0.2523
Nd: 0.7477 0.2523 0.7477
Nd: 0.7477 0.2523 0.2523

Computed properties:
The calculation puts the density of states at the Fermi level at 46.783 states/eV/cell. The formation energy comes out at 0.239 eV/atom. As for the space-group type: Fm-3m, No. 225. The value obtained for the calculated total energy is -0.1650 Ha/atom.

---

No. 7
Computed, not measured: crystalline La4Tb7Nd2 at its relaxed geometry at the GGA-PBE level of DFT.

Cell lengths 8.1355, 9.6160, 6.2926 Å; angles 96.23, 97.33, 65.26 degrees
Fractional coordinates of all 13 atoms:
Nd: 0.3056 0.6160 0.1530
Nd: 0.6944 0.3840 0.8470
Tb: 0.4618 0.9225 0.2285
Tb: 0.1533 0.3089 0.0762
Tb: 0.2283 0.4612 0.6181
Tb: 0.7717 0.5388 0.3819
Tb: 0.0000 0.0000 0.0000
Tb: 0.5382 0.0775 0.7715
Tb: 0.8467 0.6911 0.9238
La: 0.9220 0.8467 0.4641
La: 0.6131 0.2310 0.3078
La: 0.0780 0.1533 0.5359
La: 0.3869 0.7690 0.6922

Computed properties:
The calculation puts the density of states at the Fermi level at 20.413 states/eV/cell. The formation energy comes out at 0.023 eV/atom. As for the space-group type: P-1, No. 2. The value obtained for the calculated total energy is -0.1735 Ha/atom.

---

No. 8
Computed, not measured: crystalline LaTb4Nd3 at its relaxed geometry at the GGA-PBE level of DFT.

Cell lengths 6.3521, 7.3560, 11.7042 Å; angles 90.00, 90.00, 90.00 degrees
Fractional coordinates of all 16 atoms:
Nd: 0.1488 0.3716 0.5000
Nd: 0.9814 0.6283 0.2510
Nd: 0.9814 0.6283 0.7490
Nd: 0.4814 0.3717 0.7510
Nd: 0.4814 0.3717 0.2490
Nd: 0.6488 0.6284 0.0000
Tb: 0.1482 0.8795 0.5000
Tb: 0.4804 0.8780 0.7506
Tb: 0.1489 0.8778 0.0000
Tb: 0.6489 0.1222 0.5000
Tb: 0.6482 0.1205 0.0000
Tb: 0.9804 0.1220 0.2506
Tb: 0.9804 0.1220 0.7494
Tb: 0.4804 0.8780 0.2494
La: 0.6457 0.6252 0.5000
La: 0.1457 0.3748 0.0000

Computed properties:
The calculation puts the density of states at the Fermi level at 28.817 states/eV/cell. The formation energy comes out at 0.031 eV/atom. The energy relative to the lowest polymorph listed for this composition is 0 meV per atom. As for the space-group type: Pmn2_1, No. 31. The value obtained for the calculated total energy is -0.1723 Ha/atom.